one) A relaxed structure of KNaBi2. Source: Alexandria via LeMat-Bulk, functional PBE-GGA.

N(E_F): 0.55 states/eV/atom

Cell and atoms, written as CIF:
```
data_KNaBi2
_chemical_formula_sum 'K4 Na4 Bi8'
_space_group_name_H-M_alt 'F m -3 m'
_space_group_IT_number 225
_space_group_name_Hall '-F 4 2 3'
_cell_length_a 8.055
_cell_length_b 8.055
_cell_length_c 8.055
_cell_angle_alpha 90.00
_cell_angle_beta 90.00
_cell_angle_gamma 90.00
loop_
_atom_site_label
_atom_site_type_symbol
_atom_site_fract_x
_atom_site_fract_y
_atom_site_fract_z
K1 K 0.000 0.000 0.000
Na1 Na 0.000 0.000 0.500
Bi1 Bi 0.250 0.250 0.250
```

=====

two) A relaxed structure of KNaBi2. Source: Alexandria via LeMat-Bulk, functional PBE-GGA.

N(E_F): 0.36 states/eV/atom

Cell and atoms, written as CIF:
```
data_KNaBi2
_chemical_formula_sum 'K2 Na2 Bi4'
_space_group_name_H-M_alt 'C m m m'
_space_group_IT_number 65
_space_group_name_Hall '-C 2 2'
_cell_length_a 4.926
_cell_length_b 4.934
_cell_length_c 10.536
_cell_angle_alpha 90.00
_cell_angle_beta 90.00
_cell_angle_gamma 90.00
loop_
_atom_site_label
_atom_site_type_symbol
_atom_site_fract_x
_atom_site_fract_y
_atom_site_fract_z
K1 K 0.000 0.000 0.000
Na1 Na 0.000 0.000 0.500
Bi1 Bi 0.000 0.500 0.269
```

=====

Which one sits at the top of the stability order? two) does.